(1)
VASP calculation (PBE) on crystalline NaSr2LaCd at its relaxed geometry.

- crystal system = tetragonal
- N(E_F) (states/eV/f.u.) = 5.668
- ΔH_f (0 K) (eV/atom) = 0.266

Lattice parameters (Å, degrees): 6.350 5.621 6.350 90.00 90.00 90.00
Atoms (fractional coordinates):
Sr  0.000  0.000  0.500
Sr  0.500  0.000  0.000
Cd  0.000  0.000  0.000
Na  0.000  0.500  0.000
La  0.500  0.500  0.500

=====

(2)
VASP calculation (PBE) on crystalline Ce3Ag2Sn4 at its relaxed geometry.

- crystal system = monoclinic
- N(E_F) (states/eV/f.u.) = 20.854
- ΔH_f (0 K) (eV/atom) = -0.477

Lattice parameters (Å, degrees): 4.822 6.231 9.157 109.11 90.00 112.76
Atoms (fractional coordinates):
Ce  0.641  0.283  0.683
Ce  0.000  0.000  0.000
Ce  0.359  0.717  0.317
Ag  0.674  0.347  0.345
Ag  0.326  0.653  0.655
Sn  0.704  0.407  0.058
Sn  0.296  0.593  0.942
Sn  0.928  0.856  0.607
Sn  0.072  0.144  0.393

=====

(3)
VASP calculation (PBE) on crystalline Sr3SnGe at its relaxed geometry.

- crystal system = hexagonal
- E above lowest polymorph (eV per atom) = 0.000
- N(E_F) (states/eV/f.u.) = 3.471
- ΔH_f (0 K) (eV/atom) = -0.466

Lattice parameters (Å, degrees): 5.411 8.816 8.816 119.99 90.00 90.00
Atoms (fractional coordinates):
Sr  0.250  0.810  0.190
Sr  0.750  0.190  0.810
Sr  0.250  0.810  0.621
Sr  0.750  0.190  0.379
Sr  0.250  0.379  0.190
Sr  0.750  0.621  0.810
Sn  0.250  0.333  0.667
Sn  0.750  0.667  0.333
Ge  0.000  0.000  0.000
Ge  0.500  0.000  0.000

=====

(4)
VASP calculation (PBE) on crystalline Tm2TiAl2Co5 at its relaxed geometry.

- crystal system = tetragonal
- N(E_F) (states/eV/f.u.) = 4.718
- ΔH_f (0 K) (eV/atom) = -0.304

Lattice parameters (Å, degrees): 3.216 9.570 9.570 90.00 90.00 90.00
Atoms (fractional coordinates):
Tm  0.000  0.673  0.173
Tm  0.000  0.327  0.827
Tm  0.000  0.173  0.327
Tm  0.000  0.827  0.673
Ti  0.000  0.000  0.000
Ti  0.000  0.500  0.500
Al  0.000  0.125  0.625
Al  0.000  0.875  0.375
Al  0.000  0.625  0.875
Al  0.000  0.375  0.125
Co  0.500  0.200  0.063
Co  0.500  0.800  0.937
Co  0.500  0.063  0.800
Co  0.500  0.700  0.437
Co  0.500  0.937  0.200
Co  0.500  0.300  0.563
Co  0.500  0.563  0.700
Co  0.500  0.437  0.300
Co  0.500  0.500  0.000
Co  0.500  0.000  0.500

=====

Question: Among the records above, which one has the highest ΔH_f (0 K)?
Answer: NaSr2LaCd